First-principles (PBE) data for a relaxed structure of Ho2MnRu3, as listed in Alexandria.

Computed properties:
Its crystal system is hexagonal. The formation energy is -299 meV/atom. The value obtained for the total DFT energy (no corrections) is -95.9 eV per cell.

Cell: 5.3646 5.3646 8.4635 Å, 90.00 90.00 120.00°
Space group P6_3/mmc (No. 194)
Asymmetric unit:
1 Ho 0.3333 0.6667 0.0663 x4
2 Mn 0.0000 0.0000 0.0000 x2
3 Ru 0.1700 0.3400 0.7500 x6